BaPtW PBE-GGA relaxed; space-group type = P3m1 (156); theoretical density = 12.78 Mg/m³; Fermi-level density of states = 3.075 states/eV per cell; crystal system = trigonal; formation enthalpy at 0 K = 2.62 eV per formula unit; magnetic moment = 0.00 μB/cell; excess energy over the best structure of this formula in the dataset = 2.50 eV/f.u.
1.0
3.117 0.000 0.000
-1.558 2.699 0.000
0.000 0.000 7.971
Ba Pt W
1 1 1
direct
0.000 0.000 0.000 Ba
0.667 0.333 0.369 Pt
0.333 0.667 0.614 W